Entry 1:
# CeBe2Co4Si

A geometry-optimized CeBe2Co4Si structure (PBE-GGA, Alexandria).

Computed properties:
The raw formation energy is -0.33 eV/atom. As for the symmetry: No. 166. For the calculated total energy, the calculation gives -6.24 eV per atom.

a b c (Å): 3.746 3.746 8.134
angles (deg): 76.69 76.69 60.00
Atoms (fractional coordinates):
Ce: 0.000 0.000 0.000
Be: 0.768 0.768 0.696
Be: 0.232 0.232 0.304
Co: 0.403 0.403 0.791
Co: 0.868 0.868 0.396
Co: 0.132 0.132 0.604
Co: 0.597 0.597 0.209
Si: 0.500 0.500 0.500

=====

Entry 2:
# Ce2Be3CoSi4

A geometry-optimized Ce2Be3CoSi4 structure (PBE-GGA, Alexandria).

Computed properties:
The raw formation energy is -0.50 eV/atom. As for the symmetry: No. 115. For the calculated total energy, the calculation gives -5.68 eV per atom.

a b c (Å): 3.973 3.973 9.402
angles (deg): 90.00 90.00 90.00
Atoms (fractional coordinates):
Ce: 0.500 0.000 0.254
Ce: 0.000 0.500 0.746
Be: 0.000 0.000 0.500
Be: 0.500 0.000 0.870
Be: 0.000 0.500 0.130
Co: 0.500 0.500 0.500
Si: 0.500 0.500 0.000
Si: 0.000 0.000 0.000
Si: 0.500 0.000 0.625
Si: 0.000 0.500 0.375

=====

Entry 3:
# Ce2BeCo5Si2

A geometry-optimized Ce2BeCo5Si2 structure (PBE-GGA, Alexandria).

Computed properties:
The raw formation energy is -0.24 eV/atom. As for the symmetry: No. 127. For the calculated total energy, the calculation gives -6.44 eV per atom.

a b c (Å): 2.780 9.895 9.895
angles (deg): 90.00 90.00 90.00
Atoms (fractional coordinates):
Ce: 0.000 0.673 0.173
Ce: 0.000 0.327 0.827
Ce: 0.000 0.173 0.327
Ce: 0.000 0.827 0.673
Be: 0.000 0.000 0.000
Be: 0.000 0.500 0.500
Co: 0.500 0.189 0.054
Co: 0.500 0.811 0.946
Co: 0.500 0.054 0.811
Co: 0.500 0.689 0.446
Co: 0.500 0.946 0.189
Co: 0.500 0.311 0.554
Co: 0.500 0.554 0.689
Co: 0.500 0.446 0.311
Co: 0.500 0.500 0.000
Co: 0.500 0.000 0.500
Si: 0.000 0.132 0.632
Si: 0.000 0.868 0.368
Si: 0.000 0.632 0.868
Si: 0.000 0.368 0.132

=====

Entry 4:
# CeBe2CrH8

A geometry-optimized CeBe2CrH8 structure (PBE-GGA, Alexandria).

Computed properties:
As for the symmetry: No. 148. For the calculated total energy, the calculation gives -4.31 eV per atom.

a b c (Å): 4.200 4.200 6.105
angles (deg): 69.88 69.88 60.00
Site moments in Bohr magnetons follow the coordinates.
Atoms (fractional coordinates):
Ce: 0.500 0.500 0.500  -0.88
Be: 0.282 0.282 0.154  -0.02
Be: 0.718 0.718 0.846  -0.02
Cr: 0.000 0.000 0.000  1.02
H: 0.188 0.188 0.437  0.01
H: 0.630 0.285 0.167  0.00
H: 0.812 0.812 0.563  0.01
H: 0.918 0.630 0.167  0.00
H: 0.082 0.370 0.833  0.00
H: 0.285 0.918 0.167  0.00
H: 0.715 0.082 0.833  0.00
H: 0.370 0.715 0.833  0.00